Material: LaCo2P
Method: DFT, PBE
State: relaxed

```
LaCo2P
1.0
-2.3616 -1.8029 -0.9943
1.9936 -2.3756 -0.4274
-1.0614 -1.9950 6.1383
Co P La
2 1 1
Direct
0.5000 0.5000 0.1847 Co
0.0000 0.0000 0.9771 Co
0.5000 0.5000 0.8434 P
0.0000 0.0000 0.4947 La
```

Energy relative to the elements   -0.56 eV/f.u.
Volume   64.2 Å³/f.u.